# 1
A plane-wave DFT calculation with PBE was carried out for Ba3AcF8 after structural relaxation.

abc: 6.227 6.227 7.715
angles: 113.80 113.80 90.00
Site moments in Bohr magnetons follow the coordinates.
Sites, in units of the cell vectors:
1 F 0.351 0.351 0.226  0.01
2 Ba 0.500 0.500 0.000  0.04
3 F 0.875 0.875 0.226  0.01
4 Ac 0.000 0.000 0.000  0.02
5 F 0.351 0.875 0.226  0.01
6 Ba 0.750 0.250 0.500  0.07
7 F 0.875 0.351 0.226  0.01
8 F 0.125 0.125 0.774  0.01
9 F 0.649 0.125 0.774  0.01
10 F 0.125 0.649 0.774  0.01
11 Ba 0.250 0.750 0.500  0.07
12 F 0.649 0.649 0.774  0.01

Properties
Uncorrected formation energy   -3.79 eV per atom
Crystal system   tetragonal
Space-group type   I4/mmm

# 2
A plane-wave DFT calculation with PBE was carried out for AgBr after structural relaxation.

abc: 7.756 7.756 7.756
angles: 90.00 90.00 90.00
Sites, in units of the cell vectors:
1 Br 0.500 0.750 0.000
2 Ag 0.000 0.750 0.500
3 Ag 0.250 0.500 0.000
4 Br 0.000 0.500 0.250
5 Br 0.500 0.250 0.000
6 Br 0.250 0.000 0.500
7 Br 0.000 0.500 0.750
8 Ag 0.500 0.000 0.750
9 Ag 0.500 0.000 0.250
10 Ag 0.000 0.250 0.500
11 Br 0.750 0.000 0.500
12 Ag 0.750 0.500 0.000

Properties
Uncorrected formation energy   -0.31 eV per atom
Crystal system   cubic
Space-group type   Pm-3n

# 3
A plane-wave DFT calculation with PBE was carried out for B2C3 after structural relaxation.

abc: 4.795 4.795 6.265
angles: 45.55 45.55 44.08
Sites, in units of the cell vectors:
1 B 0.736 0.736 0.877
2 C 0.952 0.608 0.604
3 C 0.839 0.956 0.307
4 C 0.044 0.161 0.693
5 B 0.175 0.825 0.000
6 C 0.613 0.209 0.791
7 B 0.445 0.555 0.500
8 C 0.791 0.387 0.209
9 C 0.392 0.048 0.396
10 B 0.264 0.264 0.123

Properties
Crystal system   monoclinic
E_form   0.367 eV per atom
Space-group type   C2